This record from OQMD via LeMat-Bulk describes crystalline Hf3ZrGe2 at its relaxed geometry. The functional is GGA-PBE.

a = 6.638 Å, b = 5.393 Å, c = 5.402 Å
α = 75.88°, β = 51.99°, γ = 52.12°
Fractional coordinates of all 6 atoms:
1 Hf 0.000 0.000 0.000
2 Hf 0.499 0.811 0.189
3 Hf 0.811 0.499 0.501
4 Zr 0.311 0.311 0.689
5 Ge 0.406 0.406 0.094
6 Ge 0.906 0.906 0.594

Calculated values
Space-group type: Fmm2
Energy (eV per atom): -8.62
Total moment (μB per cell): 0.0